First-principles (PBE-GGA) data for YZnCuAg after structural relaxation, as listed in OQMD via LeMat-Bulk.

a b c (Å): 6.6717 6.6717 6.6717
angles (deg): 90.00 90.00 90.00
Last column: nearest neighbours and their distance in Å.
Space group F-43m (No. 216)
Inequivalent atoms, fractional coordinates:
Y 0.0000 0.0000 0.0000  4 Ag 2.89, 4 Cu 2.89
Zn 0.0000 0.0000 0.5000  4 Cu 2.89, 4 Ag 2.89
Cu 0.2500 0.2500 0.7500  4 Zn 2.89, 4 Y 2.89
Ag 0.2500 0.2500 0.2500  4 Zn 2.89, 4 Y 2.89

energy of formation from the pure elements	-0.197	eV/atom